# 1
Material: NaAg2Br4
Method: DFT, PBE-GGA
State: optimized geometry

```
NaAg2Br4
1.0
-4.2573 4.2579 5.6981
4.2573 -4.2579 5.6981
4.2573 4.2579 -5.6981
Na Ag Br
2 4 8
Direct
0.0000 0.0000 0.0000
0.5000 0.0000 0.5000
0.0000 0.0000 0.5000
0.0000 0.5000 0.0000
0.3668 0.6168 0.7500
0.6332 0.3832 0.2500
0.2281 0.7429 0.4852
0.2316 0.2213 0.4897
0.2316 0.7420 0.0103
0.2422 0.2571 0.9852
0.7578 0.7429 0.0148
0.7684 0.2580 0.9897
0.7684 0.7787 0.5103
0.7719 0.2571 0.5148
```

**Fermi-level density of states**: 0.885 states/eV per atom
**Symmetry**: Imma, No. 74
**Crystal system**: orthorhombic
**E above lowest polymorph**: 0.0000 eV per atom
**Formation energy from raw total energies**: -4.30 eV per formula unit
**E_tot**: -2.574 eV per atom

# 2
Material: Na2AgBr3
Method: DFT, PBE-GGA
State: optimized geometry

```
Na2AgBr3
1.0
-2.1203 2.9781 6.2932
2.1203 -2.9781 6.2932
2.1203 2.9781 -6.2932
Na Ag Br
2 1 3
Direct
0.1658 0.1658 0.0000
0.8342 0.8342 0.0000
0.5000 0.5000 0.0000
0.0000 0.5000 0.5000
0.3383 0.8383 0.5000
0.6617 0.1617 0.5000
```

**Fermi-level density of states**: 0.000 states/eV per atom
**Symmetry**: Immm, No. 71
**Crystal system**: orthorhombic
**Formation energy from raw total energies**: -6.83 eV per formula unit
**E_tot**: -2.889 eV per atom

# 3
Material: NaAgBr2
Method: DFT, PBE-GGA
State: optimized geometry

```
NaAgBr2
1.0
2.2002 1.2703 8.2494
-2.2002 1.2703 8.2494
0.0000 -2.5406 8.2494
Na Ag Br
1 1 2
Direct
0.0000 0.0000 0.0000
0.5000 0.5000 0.5000
0.1066 0.1066 0.1066
0.8934 0.8934 0.8934
```

**Fermi-level density of states**: 0.000 states/eV per atom
**Symmetry**: R-3m, No. 166
**Crystal system**: trigonal
**E above lowest polymorph**: 0.2411 eV per atom
**Formation energy from raw total energies**: -2.76 eV per formula unit
**E_tot**: -2.569 eV per atom

# 4
Material: NaAg3Br
Method: DFT, PBE-GGA
State: optimized geometry

```
NaAg3Br
1.0
5.3796 0.0000 0.0000
0.0000 5.3796 0.0000
0.0000 0.0000 5.3796
Na Ag Br
1 3 1
Direct
0.0000 0.0000 0.0000
0.0000 0.5000 0.5000
0.5000 0.0000 0.5000
0.5000 0.5000 0.0000
0.5000 0.5000 0.5000
```

**Fermi-level density of states**: 0.825 states/eV per atom
**Symmetry**: Pm-3m, No. 221
**Crystal system**: cubic
**E above lowest polymorph**: 0.0000 eV per atom
**Formation energy from raw total energies**: 2.53 eV per formula unit
**E_tot**: -1.803 eV per atom

# 5
Material: Na2Ag4Br5
Method: DFT, PBE-GGA
State: optimized geometry

```
Na2Ag4Br5
1.0
2.0631 1.1912 20.5060
-2.0631 1.1912 20.5060
0.0000 -2.3823 20.5060
Na Ag Br
2 4 5
Direct
0.1378 0.1378 0.1378
0.8622 0.8622 0.8622
0.3194 0.3194 0.3194
0.4158 0.4158 0.4158
0.5842 0.5842 0.5842
0.6806 0.6806 0.6806
0.2246 0.2246 0.2246
0.3742 0.3742 0.3742
0.5000 0.5000 0.5000
0.6258 0.6258 0.6258
0.7754 0.7754 0.7754
```

**Fermi-level density of states**: 0.139 states/eV per atom
**Symmetry**: R-3m, No. 166
**Crystal system**: trigonal
**Formation energy from raw total energies**: -6.79 eV per formula unit
**E_tot**: -2.654 eV per atom

# 6
Material: Na2NbAgBr
Method: DFT, PBE-GGA
State: optimized geometry

```
Na2NbAgBr
1.0
5.3299 0.0000 0.0000
0.0000 5.3299 0.0000
0.0000 0.0000 5.2655
Na Nb Ag Br
2 1 1 1
Direct
0.0000 0.5000 0.0000
0.5000 0.0000 0.0000
0.0000 0.0000 0.5000
0.5000 0.5000 0.5000
0.0000 0.0000 0.0000
```

**Fermi-level density of states**: 0.897 states/eV per atom
**Symmetry**: P4/mmm, No. 123
**Crystal system**: tetragonal
**Formation energy from raw total energies**: 2.64 eV per formula unit
**E_tot**: -2.919 eV per atom

# 7
Material: NaNbAgBr6
Method: DFT, PBE-GGA
State: optimized geometry

```
NaNbAgBr6
1.0
7.1247 0.0000 0.0000
-3.5623 6.1701 0.0000
0.0000 0.0000 12.7933
Na Nb Ag Br
2 2 2 12
Direct
0.0000 0.0000 0.0000
0.0000 0.0000 0.5000
0.3333 0.6667 0.2500
0.6667 0.3333 0.7500
0.3333 0.6667 0.7500
0.6667 0.3333 0.2500
0.0310 0.3728 0.1327
0.0310 0.6582 0.3673
0.3418 0.3728 0.3673
0.3418 0.9690 0.1327
0.3728 0.0310 0.6327
0.3728 0.3418 0.8673
0.6272 0.6582 0.1327
0.6272 0.9690 0.3673
0.6582 0.0310 0.8673
0.6582 0.6272 0.6327
0.9690 0.3418 0.6327
0.9690 0.6272 0.8673
```

**Fermi-level density of states**: 0.630 states/eV per atom
**Symmetry**: P-31c, No. 163
**Crystal system**: trigonal
**Formation energy from raw total energies**: -7.68 eV per formula unit
**E_tot**: -3.551 eV per atom

# 8
Material: Na2NdAgBr6
Method: DFT, PBE-GGA
State: optimized geometry

```
Na2NdAgBr6
1.0
7.4413 0.0000 0.0000
-3.7160 6.4518 0.0000
-3.7143 -2.1486 6.6876
Na Nd Ag Br
2 1 1 6
Direct
0.0000 0.0000 0.0000
0.0129 0.5066 0.5189
0.6171 0.3089 0.9255
0.5954 0.7983 0.3939
0.1135 0.4119 0.2046
0.1198 0.1979 0.7022
0.5032 0.0918 0.2049
0.5047 0.9224 0.7017
0.7803 0.5830 0.7022
0.7928 0.7022 0.2049
```

**Fermi-level density of states**: 0.000 states/eV per atom
**Symmetry**: P1, No. 1
**Crystal system**: triclinic
**Formation energy from raw total energies**: -14.25 eV per formula unit
**E_tot**: -3.454 eV per atom

- Which formula does entry 6 have?
  Na2NbAgBr

- Number 1 is which compound?
  NaAg2Br4

- Among the records above, which one has the highest Fermi-level density of states?
  Na2NbAgBr

- Among the records above, which one has the lowest formation energy from raw total energies?
  Na2NdAgBr6